Entry 1:
Density functional theory data (PBE-GGA) for crystalline K2NaRuO6 at its relaxed geometry.

Cell lengths 6.0676, 6.0676, 5.9157 Å; angles 90.00, 90.00, 120.00 degrees
With the nearest neighbours (Å) after each atom.
Fractional positions:
K (0.3333, 0.6667, 0.1488)  9 O 2.80-3.05
K (0.6667, 0.3333, 0.8512)  9 O 2.80-3.05
Na (0.0000, 0.0000, 0.5000)  6 O 2.41
Ru (0.0000, 0.0000, 0.0000)  6 O 1.88
O (0.1449, 0.2897, 0.8148)  1 Ru 1.88
O (0.1449, 0.8551, 0.8148)  1 Ru 1.88
O (0.2897, 0.1449, 0.1852)  1 Ru 1.88
O (0.7103, 0.8551, 0.8148)  1 Ru 1.88
O (0.8551, 0.1449, 0.1852)  1 Ru 1.88
O (0.8551, 0.7103, 0.1852)  1 Ru 1.88

ΔE_f (raw)	-0.907	eV/atom
size of the total moment	0.105	μB/atom
total energy	-51.61	eV/f.u.

=====

Entry 2:
Density functional theory data (PBE-GGA) for crystalline K3NaRu2O8 at its relaxed geometry.

Cell lengths 6.0839, 6.0839, 15.4970 Å; angles 90.34, 90.34, 60.10 degrees
With the nearest neighbours (Å) after each atom.
Fractional positions:
K (0.0656, 0.9344, 0.7500)  4 O 2.77-2.90
K (0.3022, 0.3562, 0.0844)  3 O 2.65-2.92
K (0.3562, 0.3022, 0.5844)  3 O 2.65-2.92
K (0.6438, 0.6978, 0.4156)  3 O 2.65-2.92
K (0.6978, 0.6438, 0.9156)  3 O 2.65-2.92
K (0.9344, 0.0656, 0.2500)  4 O 2.77-2.90
Na (0.0000, 0.0000, 0.0000)  6 O 2.41-2.46
Na (0.0000, 0.0000, 0.5000)  6 O 2.41-2.46
Ru (0.3132, 0.3636, 0.3603)  4 O 1.78-1.82
Ru (0.3636, 0.3132, 0.8603)  4 O 1.78-1.82
Ru (0.6364, 0.6868, 0.1397)  4 O 1.78-1.82
Ru (0.6868, 0.6364, 0.6397)  4 O 1.78-1.82
O (0.1384, 0.2349, 0.4129)  1 Ru 1.81
O (0.1574, 0.7007, 0.3776)  1 Ru 1.80
O (0.2285, 0.6080, 0.9210)  1 Ru 1.82
O (0.2349, 0.1384, 0.9129)  1 Ru 1.81
O (0.2610, 0.3906, 0.7514)  1 Ru 1.78
O (0.2993, 0.8426, 0.1224)  1 Ru 1.80
O (0.3906, 0.2610, 0.2514)  1 Ru 1.78
O (0.3920, 0.7715, 0.5790)  1 Ru 1.82
O (0.6080, 0.2285, 0.4210)  1 Ru 1.82
O (0.6094, 0.7390, 0.7486)  1 Ru 1.78
O (0.7007, 0.1574, 0.8776)  1 Ru 1.80
O (0.7390, 0.6094, 0.2486)  1 Ru 1.78
O (0.7651, 0.8616, 0.0871)  1 Ru 1.81
O (0.7715, 0.3920, 0.0790)  1 Ru 1.82
O (0.8426, 0.2993, 0.6224)  1 Ru 1.80
O (0.8616, 0.7651, 0.5871)  1 Ru 1.81

ΔE_f (raw)	-1.313	eV/atom
size of the total moment	0.286	μB/atom
total energy	-81.21	eV/f.u.

=====

no.,mass density (g/cm³)
1,2.63
2,3.14